The following is a GGA-PBEsol calculation of an optimized crystal structure of Sb2Pt2Br, from Alexandria via LeMat-Bulk.

Unit cell a=6.0735 b=6.0735 c=6.0735 alpha=133.84 beta=133.84 gamma=67.34
Last column: nearest neighbours and their distance in Å.
Positions (direct):
Sb (0.2500, 0.7500, 0.5000)  4 Pt 2.67
Sb (0.7500, 0.2500, 0.5000)  4 Pt 2.67
Pt (0.1305, 0.1305, 0.0000)  1 Pt 2.64, 4 Sb 2.67
Pt (0.8695, 0.8695, 0.0000)  1 Pt 2.64, 4 Sb 2.67
Br (0.5000, 0.5000, 0.0000)  8 Sb 3.47, 10 Pt 3.62-3.74

symmetry	I4/mmm (139)
formation energy (no corrections)	-0.040	eV/atom

The following is a GGA-PBEsol calculation of an optimized crystal structure of CuIrF2, from Alexandria via LeMat-Bulk.

Unit cell a=4.0193 b=4.0193 c=4.0193 alpha=60.00 beta=60.00 gamma=60.00
Last column: nearest neighbours and their distance in Å.
Positions (direct):
Cu (0.0000, 0.0000, 0.0000)  8 F 2.46
Ir (0.5000, 0.5000, 0.5000)  8 F 2.46
F (0.2500, 0.2500, 0.2500)  4 Ir 2.46, 4 Cu 2.46
F (0.7500, 0.7500, 0.7500)  4 Ir 2.46, 4 Cu 2.46

symmetry	Fm-3m (225)
formation energy (no corrections)	0.264	eV/atom

The following is a GGA-PBEsol calculation of an optimized crystal structure of NaSbO2, from Alexandria via LeMat-Bulk.

Unit cell a=5.2530 b=5.2530 c=5.5739 alpha=116.14 beta=116.14 gamma=89.61
Last column: nearest neighbours and their distance in Å.
Positions (direct):
Na (0.1226, 0.8774, 0.7500)  2 O 2.31
Na (0.8774, 0.1226, 0.2500)  2 O 2.31
Sb (0.3861, 0.6139, 0.2500)  4 O 1.99-2.20
Sb (0.6139, 0.3861, 0.7500)  4 O 1.99-2.20
O (0.2386, 0.3585, 0.7562)  2 Sb 1.99-2.20
O (0.3585, 0.2386, 0.2562)  2 Sb 1.99-2.20
O (0.6415, 0.7614, 0.7438)  2 Sb 1.99-2.20
O (0.7614, 0.6415, 0.2438)  2 Sb 1.99-2.20

symmetry	C2/c (15)
formation energy (no corrections)	-1.514	eV/atom

The following is a GGA-PBEsol calculation of an optimized crystal structure of Pd, from Alexandria via LeMat-Bulk.

Unit cell a=2.7249 b=2.7249 c=4.5345 alpha=90.00 beta=90.00 gamma=120.00
Last column: nearest neighbours and their distance in Å.
Positions (direct):
Pd (0.3333, 0.6667, 0.2500)  12 Pd 2.72-2.76
Pd (0.6667, 0.3333, 0.7500)  12 Pd 2.72-2.76

ΔE_f	0.03	eV/atom
symmetry	P6_3/mmc (194)

The following is a GGA-PBEsol calculation of an optimized crystal structure of MgSiSnW2, from Alexandria via LeMat-Bulk.

Unit cell a=4.6855 b=4.6855 c=4.6779 alpha=90.00 beta=90.00 gamma=90.00
Last column: nearest neighbours and their distance in Å.
Positions (direct):
Mg (0.0000, 0.0000, 0.0000)  2 Sn 2.34, 4 W 2.34
Si (0.5000, 0.5000, 0.5000)  8 W 3.31, 4 Sn 3.31
Sn (0.0000, 0.0000, 0.5000)  2 Mg 2.34
W (0.0000, 0.5000, 0.0000)  2 Mg 2.34
W (0.5000, 0.0000, 0.0000)  2 Mg 2.34

symmetry	P4/mmm (123)
formation energy (no corrections)	2.479	eV/atom

The following is a GGA-PBEsol calculation of an optimized crystal structure of Al2TeMo, from Alexandria via LeMat-Bulk.

Unit cell a=2.9931 b=2.9931 c=8.5594 alpha=90.00 beta=90.00 gamma=90.00
Last column: nearest neighbours and their distance in Å.
Positions (direct):
Al (0.0000, 0.0000, 0.1909)  4 Mo 2.67, 4 Al 2.99
Al (0.0000, 0.0000, 0.8091)  4 Mo 2.67, 4 Al 2.99
Te (0.5000, 0.5000, 0.5000)  4 Te 2.99
Mo (0.5000, 0.5000, 0.0000)  8 Al 2.67, 4 Mo 2.99

symmetry	P4/mmm (123)
formation energy (no corrections)	0.200	eV/atom

The following is a GGA-PBEsol calculation of an optimized crystal structure of Ca2FeP2H8O12, from Alexandria via LeMat-Bulk.

Unit cell a=5.8505 b=6.3706 c=6.8062 alpha=70.04 beta=78.44 gamma=75.28
Last column: nearest neighbours and their distance in Å.
Positions (direct):
Ca (0.2048, 0.1700, 0.2927)  7 O 2.31-2.53
Ca (0.7952, 0.8300, 0.7073)  7 O 2.31-2.53
Fe (0.5000, 0.5000, 0.5000)  6 O 2.03-2.20
P (0.2728, 0.0625, 0.7844)  4 O 1.53-1.57
P (0.7272, 0.9375, 0.2156)  4 O 1.53-1.57
H (0.1258, 0.6759, 0.3095)  1 O 1.01
H (0.1804, 0.4356, 0.8250)  1 O 1.03
H (0.2711, 0.6730, 0.7906)  1 O 1.03
H (0.3228, 0.6492, 0.1209)  1 O 1.02
H (0.6772, 0.3508, 0.8791)  1 O 1.02
H (0.7289, 0.3270, 0.2094)  1 O 1.03
H (0.8196, 0.5644, 0.1750)  1 O 1.03
H (0.8742, 0.3241, 0.6905)  1 O 1.01
O (0.0680, 0.0936, 0.6554)  1 P 1.56, 1 H 1.67
O (0.1830, 0.1847, 0.9525)  1 P 1.53, 1 H 1.53
O (0.1918, 0.5944, 0.7211)  2 H 1.03
O (0.2626, 0.5579, 0.2689)  2 H 1.01-1.02
O (0.3843, 0.8062, 0.8793)  2 H 1.52-1.63, 1 P 1.55
O (0.4789, 0.1661, 0.6244)  1 P 1.57
O (0.5211, 0.8339, 0.3756)  1 P 1.57
O (0.6157, 0.1938, 0.1207)  2 H 1.52-1.63, 1 P 1.55
O (0.7374, 0.4421, 0.7311)  2 H 1.01-1.02
O (0.8082, 0.4056, 0.2789)  2 H 1.03
O (0.8170, 0.8153, 0.0475)  1 P 1.53, 1 H 1.53
O (0.9320, 0.9064, 0.3446)  1 P 1.56, 1 H 1.67

symmetry	P-1 (2)
calculated total energy	-6.388	eV/atom

The following is a GGA-PBEsol calculation of an optimized crystal structure of W7O6F30, from Alexandria via LeMat-Bulk.

Unit cell a=9.0401 b=9.2057 c=9.2668 alpha=115.86 beta=99.79 gamma=99.54
Last column: nearest neighbours and their distance in Å.
Positions (direct):
W (0.0000, 0.0000, 0.0000)  6 O 1.91
W (0.2365, 0.7447, 0.7590)  5 F 1.85-1.86, 1 O 1.89
W (0.2396, 0.0688, 0.4037)  5 F 1.85-1.86, 1 O 1.89
W (0.2608, 0.4039, 0.0875)  5 F 1.85-1.86, 1 O 1.89
W (0.7392, 0.5961, 0.9125)  5 F 1.85-1.86, 1 O 1.89
W (0.7604, 0.9312, 0.5963)  5 F 1.85-1.86, 1 O 1.89
W (0.7635, 0.2553, 0.2410)  5 F 1.85-1.86, 1 O 1.89
O (0.0974, 0.2136, 0.0266)  2 W 1.89-1.91
O (0.1235, 0.8995, 0.8571)  2 W 1.89-1.91
O (0.1570, 0.0374, 0.1877)  2 W 1.89-1.91
O (0.8430, 0.9626, 0.8123)  2 W 1.89-1.91
O (0.8765, 0.1005, 0.1429)  2 W 1.89-1.91
O (0.9026, 0.7864, 0.9734)  2 W 1.89-1.91
F (0.0557, 0.5728, 0.6837)  1 W 1.86
F (0.0613, 0.9084, 0.3652)  1 W 1.86
F (0.1331, 0.5466, 0.1415)  1 W 1.85
F (0.1426, 0.2393, 0.4856)  1 W 1.86
F (0.1875, 0.7491, 0.5588)  1 W 1.85
F (0.2129, 0.3781, 0.8737)  1 W 1.85
F (0.2881, 0.7404, 0.9601)  1 W 1.86
F (0.3028, 0.0973, 0.6179)  1 W 1.86
F (0.3064, 0.4353, 0.3040)  1 W 1.86
F (0.3415, 0.9027, 0.3263)  1 W 1.85
F (0.3439, 0.5851, 0.6747)  1 W 1.86
F (0.3886, 0.2606, 0.0295)  1 W 1.86
F (0.4158, 0.9157, 0.8285)  1 W 1.85
F (0.4199, 0.2240, 0.4397)  1 W 1.85
F (0.4341, 0.5810, 0.1539)  1 W 1.85
F (0.5659, 0.4190, 0.8461)  1 W 1.85
F (0.5801, 0.7760, 0.5603)  1 W 1.85
F (0.5842, 0.0843, 0.1715)  1 W 1.85
F (0.6114, 0.7394, 0.9705)  1 W 1.86
F (0.6561, 0.4149, 0.3253)  1 W 1.86
F (0.6585, 0.0973, 0.6737)  1 W 1.85
F (0.6936, 0.5647, 0.6960)  1 W 1.86
F (0.6972, 0.9027, 0.3821)  1 W 1.86
F (0.7119, 0.2596, 0.0399)  1 W 1.86
F (0.7871, 0.6219, 0.1263)  1 W 1.85
F (0.8125, 0.2509, 0.4412)  1 W 1.85
F (0.8574, 0.7607, 0.5144)  1 W 1.86
F (0.8669, 0.4534, 0.8585)  1 W 1.85
F (0.9387, 0.0916, 0.6348)  1 W 1.86
F (0.9443, 0.4272, 0.3163)  1 W 1.86

symmetry	P-1 (2)
formation energy (no corrections)	-2.566	eV/atom

The following is a GGA-PBEsol calculation of an optimized crystal structure of NbAlIr2Cl, from Alexandria via LeMat-Bulk.

Unit cell a=4.4871 b=4.4871 c=4.4413 alpha=90.00 beta=90.00 gamma=90.00
Last column: nearest neighbours and their distance in Å.
Positions (direct):
Nb (0.0000, 0.0000, 0.0000)  8 Ir 3.16, 4 Cl 3.17
Al (0.5000, 0.5000, 0.5000)  2 Cl 2.22, 4 Ir 2.24
Ir (0.0000, 0.5000, 0.5000)  2 Al 2.24
Ir (0.5000, 0.0000, 0.5000)  2 Al 2.24
Cl (0.5000, 0.5000, 0.0000)  2 Al 2.22

symmetry	P4/mmm (123)
formation energy (no corrections)	1.018	eV/atom

The following is a GGA-PBEsol calculation of an optimized crystal structure of NaLaAu2, from Alexandria via LeMat-Bulk.

Unit cell a=5.0698 b=5.0698 c=5.0698 alpha=60.00 beta=60.00 gamma=60.00
Last column: nearest neighbours and their distance in Å.
Positions (direct):
Na (0.0000, 0.0000, 0.0000)  8 Au 3.10
La (0.5000, 0.5000, 0.5000)  8 Au 3.10
Au (0.2500, 0.2500, 0.2500)  4 La 3.10, 4 Na 3.10
Au (0.7500, 0.7500, 0.7500)  4 La 3.10, 4 Na 3.10

ΔE_f	-0.55	eV/atom
symmetry	Fm-3m (225)

The following is a GGA-PBEsol calculation of an optimized crystal structure of BaZn, from Alexandria via LeMat-Bulk.

Unit cell a=4.0035 b=4.0035 c=4.0035 alpha=90.00 beta=90.00 gamma=90.00
Last column: nearest neighbours and their distance in Å.
Positions (direct):
Ba (0.0000, 0.0000, 0.0000)  8 Zn 3.47
Zn (0.5000, 0.5000, 0.5000)  8 Ba 3.47

ΔE_f	-0.12	eV/atom
symmetry	Pm-3m (221)

The following is a GGA-PBEsol calculation of an optimized crystal structure of SbAsAu, from Alexandria via LeMat-Bulk.

Unit cell a=6.5588 b=6.3216 c=3.3243 alpha=79.03 beta=71.13 gamma=29.84
Last column: nearest neighbours and their distance in Å.
Positions (direct):
Sb (0.0000, 0.0000, 0.0000)  2 Au 2.80, 2 As 3.11
As (0.3013, 0.3013, 0.6987)  2 Au 2.60
Au (0.6632, 0.6632, 0.3368)  2 As 2.60, 2 Sb 2.80

symmetry	Fmm2 (42)
formation energy (no corrections)	0.228	eV/atom

Number 1: M_tot 0.00 μB per atom. Number 2: M_tot 0.59 μB per atom. Number 3: M_tot 0.00 μB per atom. Number 4: M_tot 0.29 μB per atom. Number 5: M_tot 0.07 μB per atom. Number 6: M_tot 0.00 μB per atom. Number 7: M_tot 0.16 μB per atom. Number 8: M_tot 0.00 μB per atom. Number 9: M_tot 0.21 μB per atom. Number 10: M_tot 0.00 μB per atom. Number 11: M_tot 0.00 μB per atom. Number 12: M_tot 0.00 μB per atom.